[1]
Computed, not measured: a relaxed structure of Fe2ReAg at the PBE level of DFT.

The raw total energy comes out at -30.84 eV/cell. As for the space group: R3m, No. 160.

abc: 8.8716 8.8716 8.8716
angles: 17.79 17.79 17.79
With the nearest neighbours (Å) after each atom.
Fractional positions:
Fe  0.0000  0.0000  0.0000  9 Fe 2.46-2.74
Fe  0.2612  0.2612  0.2612  9 Fe 2.46-2.74, 3 Re 2.56
Re  0.5177  0.5177  0.5177  3 Fe 2.56, 6 Re 2.74
Ag  0.7548  0.7548  0.7548  6 Ag 2.74, 3 Fe 2.80, 3 Re 2.98

---

[2]
Computed, not measured: a relaxed structure of FeReAg2 at the PBE level of DFT.

The raw total energy comes out at -24.33 eV/cell. As for the space group: R-3m, No. 166.

abc: 9.6281 9.6281 9.6281
angles: 16.48 16.48 16.48
With the nearest neighbours (Å) after each atom.
Fractional positions:
Fe  0.0000  0.0000  0.0000  6 Fe 2.76, 6 Ag 2.80
Re  0.5000  0.5000  0.5000  6 Re 2.76, 6 Ag 2.92
Ag  0.2524  0.2524  0.2524  6 Ag 2.76, 3 Fe 2.80, 3 Re 2.92
Ag  0.7476  0.7476  0.7476  6 Ag 2.76, 3 Fe 2.80, 3 Re 2.92

---

Number 1: energy relative to the elements 0.347 eV/atom, Fermi-level density of states 3.83 states/eV per cell. Number 2: energy relative to the elements 0.570 eV/atom, Fermi-level density of states 3.38 states/eV per cell.